1.
A relaxed GaPt6Rh5 crystal. Source: Alexandria, functional PBE. Values from VASP.

DOS(E_F): 20.47 states/eV/cell
V: 179 Å³ per cell
energy of formation: -3.13 kcal/mol of atoms
total magnetization: 0.0 μB/f.u.

```
&SYSTEM
  ibrav = 0, nat = 12, ntyp = 3
/
ATOMIC_SPECIES
Rh 102.91 Rh.upf
Pt 195.08 Pt.upf
Ga 69.72 Ga.upf
CELL_PARAMETERS angstrom
-1.3287 3.5804 0.8377
-5.6194 -4.5039 1.2058
4.9532 -1.5031 5.1500
ATOMIC_POSITIONS crystal
Rh 0.0000 0.3360 0.6640
Rh 0.5000 0.8353 0.1647
Rh 0.5000 0.5000 0.5000
Rh 0.0000 0.6640 0.3360
Rh 0.5000 0.1647 0.8353
Pt 0.2482 0.0811 0.4152
Pt 0.7518 0.9189 0.5848
Pt 0.7481 0.2475 0.2475
Pt 0.7518 0.5848 0.9189
Pt 0.2519 0.7525 0.7525
Pt 0.2482 0.4152 0.0811
Ga 0.0000 0.0000 0.0000
```

2.
A relaxed Ga2Pt9Rh crystal. Source: Alexandria, functional PBE. Values from VASP.

DOS(E_F): 16.41 states/eV/cell
V: 184 Å³ per cell
energy of formation: -6.50 kcal/mol of atoms
total magnetization: 0.0 μB/f.u.

```
&SYSTEM
  ibrav = 0, nat = 12, ntyp = 3
/
ATOMIC_SPECIES
Pt 195.08 Pt.upf
Ga 69.72 Ga.upf
Rh 102.91 Rh.upf
CELL_PARAMETERS angstrom
-0.0622 -3.8190 0.9954
2.4396 0.7453 3.0121
-9.2942 1.9855 7.0362
ATOMIC_POSITIONS crystal
Pt 0.0000 0.5000 0.5000
Pt 0.5000 0.0000 0.1686
Pt 0.5000 0.5000 0.3343
Pt 0.5000 0.0000 0.8314
Pt 0.0000 0.5000 0.1686
Pt 0.0000 0.5000 0.8314
Pt 0.5000 0.5000 0.0000
Pt 0.5000 0.5000 0.6657
Pt 0.5000 0.0000 0.5000
Ga 0.0000 0.0000 0.3332
Ga 0.0000 0.0000 0.6668
Rh 0.0000 0.0000 0.0000
```

3.
A relaxed Ga4PtRh3 crystal. Source: Alexandria, functional PBE. Values from VASP.

DOS(E_F): 5.13 states/eV/cell
V: 115 Å³ per cell
energy of formation: -14.33 kcal/mol of atoms
total magnetization: 0.0 μB/f.u.

```
&SYSTEM
  ibrav = 0, nat = 8, ntyp = 3
/
ATOMIC_SPECIES
Rh 102.91 Rh.upf
Ga 69.72 Ga.upf
Pt 195.08 Pt.upf
CELL_PARAMETERS angstrom
4.2385 0.0000 -1.1441
-0.3062 4.2302 -1.1344
-0.4696 -0.5427 6.6836
ATOMIC_POSITIONS crystal
Rh 0.2490 0.7487 0.4979
Rh 0.7510 0.2513 0.5021
Rh 0.0000 0.5000 0.0000
Ga 0.1266 0.1263 0.2532
Ga 0.3734 0.3733 0.7468
Ga 0.8734 0.8737 0.7468
Ga 0.6266 0.6267 0.2532
Pt 0.5000 0.0000 0.0000
```

4.
A relaxed GaPt4Rh7 crystal. Source: Alexandria, functional PBE. Values from VASP.

DOS(E_F): 32.93 states/eV/cell
V: 352 Å³ per cell
energy of formation: -3.11 kcal/mol of atoms
total magnetization: 0.0 μB/f.u.

```
&SYSTEM
  ibrav = 0, nat = 24, ntyp = 3
/
ATOMIC_SPECIES
Pt 195.08 Pt.upf
Rh 102.91 Rh.upf
Ga 69.72 Ga.upf
CELL_PARAMETERS angstrom
-2.2561 2.2981 -3.5040
5.4361 -2.6771 -0.9499
-12.9357 -10.0763 1.7127
ATOMIC_POSITIONS crystal
Pt 0.0137 0.7510 0.7496
Pt 0.5196 0.7605 0.8382
Pt 0.5060 0.7394 0.1618
Pt 0.0061 0.2395 0.6618
Pt 0.0199 0.2607 0.3382
Pt 0.0121 0.7491 0.2504
Pt 0.5139 0.2510 0.2496
Pt 0.5120 0.2490 0.7503
Rh 0.5105 0.2442 0.0815
Rh 0.5127 0.7498 0.0000
Rh 0.0106 0.7444 0.5815
Rh 0.5121 0.7470 0.6650
Rh 0.0152 0.7556 0.9201
Rh 0.5151 0.2556 0.9185
Rh 0.0137 0.2530 0.8350
Rh 0.5154 0.2558 0.4201
Rh 0.0104 0.7442 0.0799
Rh 0.5106 0.2444 0.5799
Rh 0.5139 0.7532 0.3350
Rh 0.0153 0.7558 0.4185
Rh 0.0130 0.2501 0.5000
Rh 0.0120 0.2468 0.1650
Ga 0.5130 0.7501 0.5000
Ga 0.0128 0.2498 0.0000
```

5.
A relaxed GaPtRh3 crystal. Source: Alexandria, functional PBE. Values from VASP.

DOS(E_F): 12.77 states/eV/cell
V: 202 Å³ per cell
energy above the lowest structure with this stoichiometry: 711 meV per atom
energy of formation: 10.20 kcal/mol of atoms
total magnetization: 0.0 μB/f.u.

```
&SYSTEM
  ibrav = 0, nat = 10, ntyp = 3
/
ATOMIC_SPECIES
Rh 102.91 Rh.upf
Ga 69.72 Ga.upf
Pt 195.08 Pt.upf
CELL_PARAMETERS angstrom
-0.8048 -1.3605 -4.5277
2.2211 -4.1633 0.8562
-8.3345 -0.8074 4.2638
ATOMIC_POSITIONS crystal
Rh 0.6244 0.8756 0.7512
Rh 0.1244 0.3756 0.2488
Rh 0.1268 0.8756 0.7512
Rh 0.6651 0.6651 0.3303
Rh 0.3349 0.3349 0.6697
Rh 0.1244 0.8732 0.2488
Ga 0.2500 0.7500 0.5000
Ga 0.0000 0.0000 0.0000
Pt 0.8884 0.3884 0.7769
Pt 0.6116 0.1116 0.2231
```

6.
A relaxed Ga4PtRh7 crystal. Source: Alexandria, functional PBE. Values from VASP.

DOS(E_F): 9.45 states/eV/cell
V: 173 Å³ per cell
energy of formation: -9.15 kcal/mol of atoms
total magnetization: 0.0 μB/f.u.

```
&SYSTEM
  ibrav = 0, nat = 12, ntyp = 3
/
ATOMIC_SPECIES
Rh 102.91 Rh.upf
Pt 195.08 Pt.upf
Ga 69.72 Ga.upf
CELL_PARAMETERS angstrom
-1.8248 4.1660 2.8983
-7.5337 0.4273 0.5020
-0.9580 -3.0088 3.6295
ATOMIC_POSITIONS crystal
Rh 0.7547 0.0022 0.4920
Rh 0.5000 0.0000 0.0000
Rh 0.7598 0.3642 0.2016
Rh 0.2402 0.6358 0.7984
Rh 0.9256 0.6636 0.2864
Rh 0.0744 0.3364 0.7136
Rh 0.2453 0.9978 0.5080
Pt 0.0000 0.0000 0.0000
Ga 0.2869 0.3169 0.2167
Ga 0.4096 0.6859 0.2910
Ga 0.5904 0.3141 0.7090
Ga 0.7131 0.6831 0.7833
```

7.
A relaxed Ga6PtRh crystal. Source: Alexandria, functional PBE. Values from VASP.

DOS(E_F): 2.19 states/eV/cell
V: 141 Å³ per cell
energy of formation: -7.85 kcal/mol of atoms
total magnetization: 0.0 μB/f.u.

```
&SYSTEM
  ibrav = 0, nat = 8, ntyp = 3
/
ATOMIC_SPECIES
Pt 195.08 Pt.upf
Ga 69.72 Ga.upf
Rh 102.91 Rh.upf
CELL_PARAMETERS angstrom
0.5637 2.0076 -4.7891
3.6931 -1.4212 -4.2945
-2.2576 -4.8554 -3.9209
ATOMIC_POSITIONS crystal
Pt 0.0000 0.0000 0.0000
Ga 0.9190 0.8733 0.6934
Ga 0.2402 0.2617 0.7426
Ga 0.4310 0.3657 0.2021
Ga 0.7598 0.7383 0.2574
Ga 0.5690 0.6343 0.7979
Ga 0.0810 0.1267 0.3066
Rh 0.5000 0.5000 0.5000
```

8.
A relaxed GaPt2Rh2 crystal. Source: Alexandria, functional PBE. Values from VASP.

DOS(E_F): 17.30 states/eV/cell
V: 160 Å³ per cell
energy above the lowest structure with this stoichiometry: 0 meV per atom
energy of formation: -0.81 kcal/mol of atoms
total magnetization: 0.7 μB/f.u.

```
&SYSTEM
  ibrav = 0, nat = 10, ntyp = 3
/
ATOMIC_SPECIES
Rh 102.91 Rh.upf
Ga 69.72 Ga.upf
Pt 195.08 Pt.upf
CELL_PARAMETERS angstrom
-5.1672 -1.7666 3.3669
-0.7023 -5.1397 -3.7746
2.2699 -2.0707 2.3972
ATOMIC_POSITIONS crystal
Rh 0.1425 0.3575 0.0000
Rh 0.6425 0.1425 0.0000
Rh 0.3575 0.8575 0.0000
Rh 0.8575 0.6425 0.0000
Ga 0.5000 0.5000 0.0000
Ga 0.0000 0.0000 0.0000
Pt 0.3459 0.1541 0.5000
Pt 0.1541 0.6541 0.5000
Pt 0.6541 0.8459 0.5000
Pt 0.8459 0.3459 0.5000
```

9.
A relaxed Ga3Pt12Rh crystal. Source: Alexandria, functional PBE. Values from VASP.

DOS(E_F): 19.64 states/eV/cell
V: 246 Å³ per cell
energy of formation: -7.53 kcal/mol of atoms
total magnetization: 0.0 μB/f.u.

```
&SYSTEM
  ibrav = 0, nat = 16, ntyp = 3
/
ATOMIC_SPECIES
Pt 195.08 Pt.upf
Rh 102.91 Rh.upf
Ga 69.72 Ga.upf
CELL_PARAMETERS angstrom
-3.3731 0.5981 -1.9708
-2.0172 -1.7227 2.9297
-1.6539 13.9513 7.0648
ATOMIC_POSITIONS crystal
Pt 0.0000 0.5000 0.8736
Pt 0.0000 0.5000 0.1264
Pt 0.0000 0.5000 0.6253
Pt 0.0000 0.5000 0.3747
Pt 0.5000 0.0000 0.8736
Pt 0.5000 0.0000 0.1264
Pt 0.5000 0.5000 0.7500
Pt 0.5000 0.0000 0.6253
Pt 0.5000 0.5000 0.5000
Pt 0.5000 0.0000 0.3747
Pt 0.5000 0.5000 0.2500
Pt 0.5000 0.5000 0.0000
Rh 0.0000 0.0000 0.0000
Ga 0.0000 0.0000 0.7486
Ga 0.0000 0.0000 0.5000
Ga 0.0000 0.0000 0.2514
```

10.
A relaxed GaPt2Rh6 crystal. Source: Alexandria, functional PBE. Values from VASP.

DOS(E_F): 11.60 states/eV/cell
V: 143 Å³ per cell
energy of formation: 2.83 kcal/mol of atoms
total magnetization: 0.0 μB/f.u.

```
&SYSTEM
  ibrav = 0, nat = 9, ntyp = 3
/
ATOMIC_SPECIES
Pt 195.08 Pt.upf
Rh 102.91 Rh.upf
Ga 69.72 Ga.upf
CELL_PARAMETERS angstrom
3.6542 0.0012 0.9576
0.8522 6.4166 4.1918
0.0097 2.1290 7.4120
ATOMIC_POSITIONS crystal
Pt 0.0904 0.4096 0.4096
Pt 0.8849 0.6151 0.6151
Rh 0.3019 0.9752 0.4210
Rh 0.6844 0.0529 0.5783
Rh 0.6844 0.5783 0.0529
Rh 0.4877 0.7669 0.2577
Rh 0.3019 0.4210 0.9752
Rh 0.4877 0.2577 0.7669
Ga 0.0767 0.9232 0.9232
```

11.
A relaxed Ga6PtRh5 crystal. Source: Alexandria, functional PBE. Values from VASP.

DOS(E_F): 4.34 states/eV/cell
V: 171 Å³ per cell
energy of formation: -15.00 kcal/mol of atoms
total magnetization: 0.0 μB/f.u.

```
&SYSTEM
  ibrav = 0, nat = 12, ntyp = 3
/
ATOMIC_SPECIES
Rh 102.91 Rh.upf
Ga 69.72 Ga.upf
Pt 195.08 Pt.upf
CELL_PARAMETERS angstrom
-2.0311 1.0918 -3.4894
-5.5727 -2.0550 2.6009
2.7960 6.2252 2.8269
ATOMIC_POSITIONS crystal
Rh 0.6678 0.6678 0.3356
Rh 0.3371 0.8371 0.6742
Rh 0.3322 0.3322 0.6644
Rh 0.0000 0.5000 0.0000
Rh 0.6629 0.1629 0.3258
Ga 0.8310 0.0850 0.6621
Ga 0.1690 0.9150 0.3379
Ga 0.1690 0.4230 0.3379
Ga 0.5000 0.7421 0.0000
Ga 0.5000 0.2579 0.0000
Ga 0.8310 0.5770 0.6621
Pt 0.0000 0.0000 0.0000
```